First-principles (PBE) data for crystalline PrSmHo2Bi4 at its relaxed geometry, as listed in Alexandria via LeMat-Bulk.

Properties
density = 9.2 g/cm³
crystal system = monoclinic
space-group type = P2/m (10)
DFT total energy = -5.16 eV per atom
size of the total moment = 0.00 μB/cell

Cell: 7.8423 4.5359 7.8513 Å, 90.00 109.49 90.00°
Fractional positions:
Pr 0.0000 0.0000 0.0000
Sm 0.0000 0.5000 0.5000
Ho 0.5000 0.0000 0.5000
Ho 0.5000 0.5000 0.0000
Bi 0.2585 0.0000 0.7505
Bi 0.2601 0.5000 0.2557
Bi 0.7399 0.5000 0.7443
Bi 0.7415 0.0000 0.2495